Version 1
This record from Alexandria describes a crystal of CaZr2Sc relaxed with PBEsol. The functional is SCAN.

Its magnetic moment is 0.000 μB per formula unit.

Lattice parameters (Å, degrees): 3.164 4.605 6.831 90.00 90.00 90.00
Sites, in units of the cell vectors:
1 Sc 0.500 0.500 0.500
2 Zr 0.000 0.000 0.714
3 Zr 0.000 0.000 0.286
4 Ca 0.500 0.500 0.000

Version 2
This record from Alexandria describes a crystal of CaZr2Sc relaxed with PBEsol. The functional is SCAN.

Its magnetic moment is 0.002 μB per formula unit.

Lattice parameters (Å, degrees): 3.368 5.383 5.383 90.00 90.00 90.00
Sites, in units of the cell vectors:
1 Ca 0.500 0.500 0.500
2 Zr 0.000 0.000 0.500
3 Sc 0.500 0.000 0.000
4 Zr 0.000 0.500 0.000

Version 3
This record from Alexandria describes a crystal of CaZr2Sc relaxed with PBEsol. The functional is SCAN.

Its magnetic moment is 0.000 μB per formula unit.

Lattice parameters (Å, degrees): 4.526 4.526 5.714 113.33 113.33 90.00
Sites, in units of the cell vectors:
1 Ca 0.500 0.500 0.000
2 Zr 0.250 0.750 0.500
3 Sc 0.000 0.000 0.000
4 Zr 0.750 0.250 0.500

Version 4
This record from Alexandria describes a crystal of CaZr2Sc relaxed with PBEsol. The functional is SCAN.

Its magnetic moment is 3.222 μB per formula unit.

Lattice parameters (Å, degrees): 5.195 5.195 5.195 60.00 60.00 60.00
Sites, in units of the cell vectors:
1 Ca 0.500 0.500 0.500
2 Sc 0.250 0.250 0.250
3 Zr 0.000 0.000 0.000
4 Zr 0.750 0.750 0.750

On energetic grounds, version 1 is preferred over the next structure by 6.2 kJ/mol of atoms.

Version 1
This record from Alexandria describes a crystal of Ca2ZrSc relaxed with PBEsol. The functional is SCAN.

Its magnetic moment is 2.908 μB per formula unit.

Lattice parameters (Å, degrees): 4.658 4.658 5.224 90.00 90.00 90.00
Sites, in units of the cell vectors:
1 Ca 0.000 0.500 0.000
2 Ca 0.500 0.000 0.000
3 Sc 0.500 0.500 0.500
4 Zr 0.000 0.000 0.500

Version 2
This record from Alexandria describes a crystal of Ca2ZrSc relaxed with PBEsol. The functional is SCAN.

Its magnetic moment is 2.472 μB per formula unit.

Lattice parameters (Å, degrees): 5.432 5.432 5.432 60.00 60.00 60.00
Sites, in units of the cell vectors:
1 Ca 0.000 0.000 0.000
2 Zr 0.250 0.250 0.250
3 Ca 0.750 0.750 0.750
4 Sc 0.500 0.500 0.500

On energetic grounds, version 1 is preferred over the next structure by 0.9 kJ/mol of atoms.

Version 1
This record from Alexandria describes a crystal of SrCaSe2 relaxed with PBEsol. The functional is SCAN.

Its magnetic moment is 0.000 μB per formula unit.

Lattice parameters (Å, degrees): 3.702 3.710 7.399 96.44 90.00 90.00
Sites, in units of the cell vectors:
1 Ca 0.500 0.500 0.000
2 Sr 0.500 0.500 0.500
3 Se 0.000 0.036 0.757
4 Se 0.000 0.964 0.243

Version 2
This record from Alexandria describes a crystal of SrCaSe2 relaxed with PBEsol. The functional is SCAN.

Its magnetic moment is 0.000 μB per formula unit.

Lattice parameters (Å, degrees): 3.893 3.939 7.745 104.73 104.56 90.00
Sites, in units of the cell vectors:
1 Se 0.951 0.951 0.901
2 Ca 0.294 0.794 0.588
3 Se 0.712 0.212 0.424
4 Sr 0.543 0.543 0.087

On energetic grounds, version 2 is preferred over the next structure by 11.2 kJ/mol of atoms.

Version 1
This record from Alexandria describes a crystal of SrCaSe2 relaxed with PBEsol. The functional is SCAN.

Its magnetic moment is 0.000 μB per formula unit.

Lattice parameters (Å, degrees): 5.203 5.203 5.203 60.00 60.00 60.00
Sites, in units of the cell vectors:
1 Sr 0.250 0.250 0.250
2 Ca 0.500 0.500 0.500
3 Se 0.750 0.750 0.750
4 Se 0.000 0.000 0.000

Version 2
This record from Alexandria describes a crystal of SrCaSe2 relaxed with PBEsol. The functional is SCAN.

Its magnetic moment is 0.000 μB per formula unit.

Lattice parameters (Å, degrees): 4.280 4.280 6.053 90.00 90.00 90.00
Sites, in units of the cell vectors:
1 Se 0.500 0.500 0.000
2 Ca 0.500 0.500 0.500
3 Sr 0.000 0.000 0.000
4 Se 0.000 0.000 0.500

On energetic grounds, version 2 is preferred over the next structure by 126.7 kJ/mol of atoms.

Version 1
This record from Alexandria describes a crystal of CaTaSe relaxed with PBEsol. The functional is SCAN.

Its magnetic moment is 0.245 μB per formula unit.

Lattice parameters (Å, degrees): 3.344 3.344 6.175 105.71 105.71 90.00
Sites, in units of the cell vectors:
1 Se 0.699 0.699 0.398
2 Ca 0.001 0.001 0.003
3 Ta 0.300 0.300 0.600

Version 2
This record from Alexandria describes a crystal of CaTaSe relaxed with PBEsol. The functional is SCAN.

Its magnetic moment is 0.862 μB per formula unit.

Lattice parameters (Å, degrees): 3.418 3.418 6.409 90.00 90.00 120.00
Sites, in units of the cell vectors:
1 Ca 0.000 0.000 0.980
2 Se 0.333 0.667 0.640
3 Ta 0.667 0.333 0.380

On energetic grounds, version 2 is preferred over the next structure by 4.4 kJ/mol of atoms.

Version 1
This record from Alexandria describes a crystal of CaTiSe2 relaxed with PBEsol. The functional is SCAN.

Its magnetic moment is 2.008 μB per formula unit.

Lattice parameters (Å, degrees): 4.804 4.804 4.804 60.00 60.00 60.00
Sites, in units of the cell vectors:
1 Se 0.250 0.250 0.250
2 Ca 0.000 0.000 0.000
3 Se 0.750 0.750 0.750
4 Ti 0.500 0.500 0.500

Version 2
This record from Alexandria describes a crystal of CaTiSe2 relaxed with PBEsol. The functional is SCAN.

Its magnetic moment is 0.777 μB per formula unit.

Lattice parameters (Å, degrees): 3.642 3.642 8.935 78.24 78.24 60.00
Sites, in units of the cell vectors:
1 Se 0.109 0.109 0.672
2 Ti 0.500 0.500 0.500
3 Ca 0.000 0.000 0.000
4 Se 0.891 0.891 0.328

On energetic grounds, version 1 is preferred over the next structure by 24.1 kJ/mol of atoms.